Entry 1:
TlCoCl6, relaxed, DFT PBE; total DFT energy (no corrections) = -24.69 eV for the cell shown; calculated volume = 26.8 Å³/atom; formation energy from raw total energies = -0.5173 eV per atom; space group = C2/m, No. 12
1.0
6.102 0.241 -1.088
-1.717 5.706 -2.873
0.225 -0.910 6.548
Cl Co Tl
6 1 1
direct
0.273 0.727 0.727
0.716 0.577 0.852
0.284 0.148 0.423
0.727 0.273 0.273
0.284 0.423 0.148
0.716 0.852 0.577
0.500 0.500 0.500
0.000 0.000 0.000

***

Entry 2:
Tl2CoCl, relaxed, DFT PBE; total DFT energy (no corrections) = -13.03 eV for the cell shown; calculated volume = 22.0 Å³/atom; formation energy from raw total energies = 0.1629 eV per atom; space group = P4/mmm, No. 123
1.0
0.045 0.172 3.383
3.370 -0.342 -0.031
0.769 7.606 -0.397
Tl Co Cl
2 1 1
direct
0.000 0.000 0.959
0.000 0.000 0.541
0.500 0.500 0.750
0.500 0.500 0.250

***

Entry 3:
TmTlCo2Cl8, relaxed, DFT PBE; total DFT energy (no corrections) = -49.89 eV for the cell shown; calculated volume = 28.3 Å³/atom; formation energy from raw total energies = -1.1722 eV per atom; space group = R-3, No. 148
1.0
6.410 0.000 0.000
3.205 5.551 0.000
3.205 1.850 9.544
Cl Tm Tl Co
8 1 1 2
direct
0.058 0.383 0.838
0.942 0.617 0.162
0.617 0.278 0.162
0.177 0.177 0.468
0.823 0.823 0.532
0.722 0.058 0.838
0.278 0.942 0.162
0.383 0.722 0.838
0.000 0.000 0.000
0.500 0.500 0.500
0.746 0.746 0.761
0.254 0.254 0.239

***

Entry 4:
TmTlCoCl6, relaxed, DFT PBE; total DFT energy (no corrections) = -37.83 eV for the cell shown; calculated volume = 30.1 Å³/atom; formation energy from raw total energies = -1.4235 eV per atom; space group = C2, No. 5
1.0
-3.919 5.191 -1.209
-6.569 -0.621 0.476
0.309 1.817 6.913
Cl Tm Co Tl
6 1 1 1
direct
0.386 0.630 0.294
0.380 0.982 0.702
0.983 0.636 0.702
0.630 0.386 0.706
0.982 0.380 0.298
0.636 0.983 0.298
0.334 0.334 0.500
0.667 0.667 0.500
0.001 0.001 0.000